[1]
Computed, not measured: crystalline BeSiAg2 at its relaxed geometry at the PBE-GGA level of DFT.

abc: 5.5011 7.5377 2.9197
angles: 90.00 90.00 90.00
Space group Cmmm (No. 65)
Inequivalent atoms, fractional coordinates:
Be  0.0000  0.0000  0.0000 (multiplicity 2)
Si  0.0000  0.5000  0.0000 (multiplicity 2)
Ag  0.2500  0.2500  0.5000 (multiplicity 4)

Computed properties:
**N(E_F)**: 1.5 states/eV/f.u.
**Excess energy over the best structure of this formula in the dataset**: 0.147 eV per atom
**M_tot**: 0.00 μB/cell
**Electronic total energy**: -26.6 eV per cell

---

[2]
Computed, not measured: crystalline BeSi2Ag at its relaxed geometry at the PBE-GGA level of DFT.

abc: 4.9464 9.2988 3.2940
angles: 90.00 127.97 90.00
Space group C2/m (No. 12)
Inequivalent atoms, fractional coordinates:
Be  0.0000  0.0000  0.0000 (multiplicity 2)
Si  0.2500  0.2500  0.0000 (multiplicity 4)
Ag  0.0000  0.5000  0.0000 (multiplicity 2)

Computed properties:
**N(E_F)**: 1.3 states/eV/f.u.
**M_tot**: 0.00 μB/cell
**Electronic total energy**: -31.0 eV per cell

---

[3]
Computed, not measured: crystalline Be2SiAg at its relaxed geometry at the PBE-GGA level of DFT.

abc: 2.6970 3.6524 10.6223
angles: 90.00 90.00 90.00
Space group Imm2 (No. 44)
Inequivalent atoms, fractional coordinates:
Be  0.0000  0.0000  0.0000 (multiplicity 2)
Be  0.0000  0.5000  0.3174 (multiplicity 2)
Si  0.0000  0.5000  0.8590 (multiplicity 2)
Ag  0.0000  0.0000  0.6155 (multiplicity 2)

Computed properties:
**N(E_F)**: 1.5 states/eV/f.u.
**M_tot**: 0.00 μB/cell
**Electronic total energy**: -28.7 eV per cell

---

[4]
Computed, not measured: crystalline BeSi2Ag at its relaxed geometry at the PBE-GGA level of DFT.

abc: 2.9620 2.9620 22.6158
angles: 90.00 90.00 120.00
Space group R3m (No. 160, hexagonal axes)
Inequivalent atoms, fractional coordinates:
Be  0.0000  0.0000  0.0000 (multiplicity 3)
Si  0.0000  0.0000  0.4856 (multiplicity 3)
Si  0.0000  0.0000  0.7393 (multiplicity 3)
Ag  0.0000  0.0000  0.2498 (multiplicity 3)

Computed properties:
**N(E_F)**: 1.1 states/eV/f.u.
**M_tot**: 0.00 μB/cell
**Electronic total energy**: -48.1 eV per cell

---

[5]
Computed, not measured: crystalline BeSiAg2 at its relaxed geometry at the PBE-GGA level of DFT.

abc: 3.8452 3.8452 8.0944
angles: 90.00 90.00 90.00
Space group I-4m2 (No. 119)
Inequivalent atoms, fractional coordinates:
Be  0.0000  0.0000  0.0000 (multiplicity 2)
Si  0.0000  0.5000  0.7500 (multiplicity 2)
Ag  0.0000  0.0000  0.5000 (multiplicity 2)
Ag  0.0000  0.5000  0.2500 (multiplicity 2)

Computed properties:
**N(E_F)**: 1.6 states/eV/f.u.
**Excess energy over the best structure of this formula in the dataset**: 0.104 eV per atom
**M_tot**: 0.00 μB/cell
**Electronic total energy**: -26.9 eV per cell

---

[6]
Computed, not measured: crystalline Be2SiAg at its relaxed geometry at the PBE-GGA level of DFT.

abc: 3.6315 3.6315 7.6440
angles: 90.00 90.00 90.00
Space group I-4m2 (No. 119)
Inequivalent atoms, fractional coordinates:
Be  0.0000  0.0000  0.0000 (multiplicity 2)
Be  0.0000  0.5000  0.2500 (multiplicity 2)
Si  0.0000  0.5000  0.7500 (multiplicity 2)
Ag  0.0000  0.0000  0.5000 (multiplicity 2)

Computed properties:
**N(E_F)**: 1.3 states/eV/f.u.
**M_tot**: 0.00 μB/cell
**Electronic total energy**: -28.3 eV per cell

---

[7]
Computed, not measured: crystalline BeSiAg2 at its relaxed geometry at the PBE-GGA level of DFT.

abc: 2.7470 2.7470 8.0748
angles: 90.00 90.00 90.00
Space group P4/mmm (No. 123)
Inequivalent atoms, fractional coordinates:
Be  0.0000  0.0000  0.0000 (multiplicity 1)
Si  0.0000  0.0000  0.5000 (multiplicity 1)
Ag  0.5000  0.5000  0.2078 (multiplicity 2)

Computed properties:
**N(E_F)**: 1.8 states/eV/f.u.
**Excess energy over the best structure of this formula in the dataset**: 0.059 eV per atom
**M_tot**: 0.00 μB/cell
**Electronic total energy**: -13.6 eV per cell

---

[8]
Computed, not measured: crystalline BeSiAg2 at its relaxed geometry at the PBE-GGA level of DFT.

abc: 2.8436 2.8436 7.3074
angles: 90.00 90.00 90.00
Space group P4mm (No. 99)
Inequivalent atoms, fractional coordinates:
Be  0.0000  0.0000  0.0000 (multiplicity 1)
Si  0.5000  0.5000  0.1854 (multiplicity 1)
Ag  0.0000  0.0000  0.4707 (multiplicity 1)
Ag  0.5000  0.5000  0.7767 (multiplicity 1)

Computed properties:
**N(E_F)**: 0.5 states/eV/f.u.
**Excess energy over the best structure of this formula in the dataset**: 0.000 eV per atom
**M_tot**: 0.00 μB/cell
**Electronic total energy**: -13.9 eV per cell